The following is a GGA-PBE calculation of a relaxed structure of SrYCdSn2, from Alexandria.

Summary:
calculated density = 4.57 g/cm3
energy of formation from the pure elements = -0.02 eV per atom

Cell: 5.745 5.745 5.799 Å, 90.00 90.00 90.00°
Sites, in units of the cell vectors:
Sr (0.000, 0.000, 0.000)
Y (0.500, 0.500, 0.500)
Cd (0.500, 0.500, 0.000)
Sn (0.000, 0.500, 0.500)
Sn (0.500, 0.000, 0.500)



The following is a GGA-PBE calculation of a relaxed structure of KLaAu10, from Alexandria.

Summary:
calculated density = 13.57 g/cm3
energy of formation from the pure elements = -0.33 eV per atom

Cell: 4.668 5.676 9.918 Å, 90.00 90.00 90.00°
Sites, in units of the cell vectors:
K (0.000, 0.000, 0.000)
La (0.000, 0.500, 0.500)
Au (0.000, 0.000, 0.337)
Au (0.000, 0.000, 0.663)
Au (0.000, 0.500, 0.173)
Au (0.000, 0.500, 0.827)
Au (0.500, 0.000, 0.500)
Au (0.500, 0.255, 0.256)
Au (0.500, 0.255, 0.744)
Au (0.500, 0.500, 0.000)
Au (0.500, 0.745, 0.256)
Au (0.500, 0.745, 0.744)



The following is a GGA-PBE calculation of a relaxed structure of BaCa3Pd, from Alexandria.

Summary:
energy above the lowest structure with this stoichiometry = 15 meV per atom
calculated density = 3.10 g/cm3
energy of formation from the pure elements = -0.30 eV per atom

Cell: 7.897 7.897 8.582 Å, 121.29 121.29 70.55°
Sites, in units of the cell vectors:
Ba (0.037, 0.037, 0.298)
Ba (0.963, 0.963, 0.702)
Ca (0.084, 0.489, 0.232)
Ca (0.434, 0.434, 0.751)
Ca (0.489, 0.084, 0.232)
Ca (0.511, 0.916, 0.768)
Ca (0.566, 0.566, 0.249)
Ca (0.916, 0.511, 0.768)
Pd (0.276, 0.276, 0.931)
Pd (0.724, 0.724, 0.069)



The following is a GGA-PBE calculation of a relaxed structure of Tc2HgH, from Alexandria.

Summary:
energy above the lowest structure with this stoichiometry = 602 meV per atom
calculated density = 11.46 g/cm3

Cell: 4.335 4.335 4.335 Å, 60.00 60.00 60.00°
Sites, in units of the cell vectors:
Tc (0.250, 0.250, 0.250)
Tc (0.750, 0.750, 0.750)
Hg (0.000, 0.000, 0.000)
H (0.500, 0.500, 0.500)



The following is a GGA-PBE calculation of a relaxed structure of Ho2SnSe4, from Alexandria.

Summary:
energy above the lowest structure with this stoichiometry = 2 meV per atom
calculated density = 6.06 g/cm3
raw formation energy = -1.431 eV per atom

Cell: 8.098 8.098 7.159 Å, 114.52 114.52 29.61°
Sites, in units of the cell vectors:
Ho (0.233, 0.233, 0.222)
Ho (0.767, 0.767, 0.778)
Sn (0.500, 0.500, 0.500)
Se (0.143, 0.143, 0.496)
Se (0.368, 0.368, 0.045)
Se (0.632, 0.632, 0.955)
Se (0.857, 0.857, 0.504)



The following is a GGA-PBE calculation of a relaxed structure of Nd7Te2Au2, from Alexandria.

Summary:
calculated density = 8.05 g/cm3
raw formation energy = -0.808 eV per atom

Cell: 9.849 9.849 9.849 Å, 155.59 66.59 119.13°
Sites, in units of the cell vectors:
Nd (0.000, 0.000, 0.000)
Nd (0.063, 0.380, 0.683)
Nd (0.104, 0.744, 0.360)
Nd (0.384, 0.744, 0.640)
Nd (0.465, 0.587, 0.878)
Nd (0.697, 0.380, 0.317)
Nd (0.710, 0.587, 0.122)
Te (0.334, 0.334, 0.000)
Te (0.742, 0.242, 0.500)
Au (0.318, 0.079, 0.239)
Au (0.841, 0.079, 0.761)



The following is a GGA-PBE calculation of a relaxed structure of LuInHg2, from Alexandria.

Summary:
energy above the lowest structure with this stoichiometry = 0 meV per atom
calculated density = 12.15 g/cm3
energy of formation from the pure elements = -0.29 eV per atom

Cell: 5.112 5.112 5.112 Å, 60.00 60.00 60.00°
Sites, in units of the cell vectors:
Lu (0.000, 0.000, 0.000)
In (0.500, 0.500, 0.500)
Hg (0.250, 0.250, 0.250)
Hg (0.750, 0.750, 0.750)



The following is a GGA-PBE calculation of a relaxed structure of Pu6HgPd6, from Alexandria.

Summary:
calculated density = 13.16 g/cm3
energy of formation from the pure elements = -0.29 eV per atom

Cell: 7.636 7.636 7.636 Å, 135.00 100.53 96.33°
Sites, in units of the cell vectors:
Pu (0.166, 0.500, 0.666)
Pu (0.178, 0.178, 0.000)
Pu (0.336, 0.000, 0.336)
Pu (0.664, 0.000, 0.664)
Pu (0.822, 0.822, 0.000)
Pu (0.834, 0.500, 0.334)
Hg (0.500, 0.500, 0.000)
Pd (0.000, 0.000, 0.500)
Pd (0.000, 0.500, 0.000)
Pd (0.248, 0.748, 0.500)
Pd (0.500, 0.000, 0.000)
Pd (0.500, 0.500, 0.500)
Pd (0.752, 0.252, 0.500)



Q: calculated density of number 8 (Pu6HgPd6)?
A: 13.16 g/cm3



Q: calculated density of number 3 (BaCa3Pd)?
A: 3.10 g/cm3



Q: The lowest calculated density belongs to which entry?
A: BaCa3Pd



Q: Among the records above, which one has the lowest calculated density?
A: BaCa3Pd